[1]
{"formula": "LiNi5As3", "functional": "PBE-GGA", "state": "relaxed", "crystal_system": "orthorhombic", "density_g_cm3": 6.68, "sg": "Cmcm", "total_energy_ev_per_atom": -5.310, "lattice_angstrom": [[1.844, -6.215, 0.000], [1.844, 6.215, 0.000], [0.000, 0.000, 11.385]], "species": ["Li", "Li", "Ni", "Ni", "Ni", "Ni", "Ni", "Ni", "Ni", "Ni", "Ni", "Ni", "As", "As", "As", "As", "As", "As"], "frac_coords": [[0.222, 0.778, 0.750], [0.778, 0.222, 0.250], [0.000, 0.000, 0.000], [0.000, 0.000, 0.500], [0.196, 0.804, 0.061], [0.196, 0.804, 0.439], [0.442, 0.558, 0.638], [0.442, 0.558, 0.862], [0.558, 0.442, 0.138], [0.558, 0.442, 0.362], [0.804, 0.196, 0.561], [0.804, 0.196, 0.939], [0.111, 0.889, 0.250], [0.380, 0.620, 0.060], [0.380, 0.620, 0.440], [0.620, 0.380, 0.560], [0.620, 0.380, 0.940], [0.889, 0.111, 0.750]]}

[2]
{"formula": "Li2Ni3As4", "functional": "PBE-GGA", "state": "relaxed", "crystal_system": "orthorhombic", "density_g_cm3": 5.16, "sg": "Fmmm", "total_energy_ev_per_atom": -4.746, "lattice_angstrom": [[0.000, 4.477, 6.900], [2.548, 0.000, 6.900], [2.548, 4.477, 0.000]], "species": ["Li", "Li", "Ni", "Ni", "Ni", "As", "As", "As", "As"], "frac_coords": [[0.101, 0.101, 0.899], [0.899, 0.899, 0.101], [0.000, 0.000, 0.500], [0.500, 0.500, 0.000], [0.500, 0.500, 0.500], [0.202, 0.528, 0.472], [0.472, 0.798, 0.202], [0.528, 0.202, 0.798], [0.798, 0.472, 0.528]]}

[3]
{"formula": "Li3Ni2As4", "functional": "PBE-GGA", "state": "relaxed", "crystal_system": "monoclinic", "density_g_cm3": 4.94, "sg": "C2/m", "total_energy_ev_per_atom": -4.406, "lattice_angstrom": [[5.006, -2.015, 0.000], [5.006, 2.015, 0.000], [-1.613, 0.000, 7.296]], "species": ["Li", "Li", "Li", "Ni", "Ni", "As", "As", "As", "As"], "frac_coords": [[0.000, 0.000, 0.000], [0.388, 0.388, 0.299], [0.612, 0.612, 0.701], [0.297, 0.297, 0.611], [0.703, 0.703, 0.389], [0.088, 0.088, 0.393], [0.303, 0.303, 0.930], [0.697, 0.697, 0.070], [0.912, 0.912, 0.607]]}

[4]
{"formula": "LiNi4As", "functional": "PBE-GGA", "state": "relaxed", "crystal_system": "cubic", "density_g_cm3": 7.01, "sg": "F-43m", "total_energy_ev_per_atom": -4.948, "lattice_angstrom": [[0.000, 3.347, 3.347], [3.347, 0.000, 3.347], [3.347, 3.347, 0.000]], "species": ["Li", "Ni", "Ni", "Ni", "Ni", "As"], "frac_coords": [[0.000, 0.000, 0.000], [0.125, 0.625, 0.625], [0.625, 0.125, 0.625], [0.625, 0.625, 0.125], [0.625, 0.625, 0.625], [0.250, 0.250, 0.250]]}